Entry from Alexandria via LeMat-Bulk: a geometry-optimized V2CdWO8 structure (PBE with a Hubbard U).

Values from the calculation:
* final energy: -82.569 eV/cell
* spin magnetization: 2.0 μB per formula unit
* volume: 12.6 Å³/atom
* symmetry: I-4m2 (119)

Lattice parameters (Å, degrees): 5.833 5.833 5.833 106.46 106.46 115.68
Last column: magnetic moment on the atom in μB.
Fractional coordinates of all 12 atoms:
V1 0.750 0.250 0.500  1.02
V2 0.500 0.500 0.000  0.07
Cd1 0.000 0.000 0.000  0.01
W1 0.250 0.750 0.500  1.06
O1 0.359 0.034 0.325  -0.05
O2 0.338 0.542 0.203  -0.01
O3 0.338 0.135 0.797  -0.01
O4 0.709 0.034 0.675  -0.05
O5 0.865 0.662 0.203  -0.01
O6 0.966 0.291 0.325  -0.05
O7 0.966 0.641 0.675  -0.05
O8 0.458 0.662 0.797  -0.01